1.
# VFeSbO6 PBE with a Hubbard U optimized geometry
data_VFeSbO6
_cell_length_a 4.635
_cell_length_b 4.635
_cell_length_c 9.276
_cell_angle_alpha 90.00
_cell_angle_beta 90.00
_cell_angle_gamma 90.00
_space_group_name_H-M_alt 'P 42 n m'
_space_group_IT_number 102
loop_
_space_group_symop_operation_xyz
'x,y,z'
'-y+1/2,x+1/2,z+1/2'
'-x,-y,z'
'y+1/2,-x+1/2,z+1/2'
'-x+1/2,y+1/2,z+1/2'
'y,x,z'
'x+1/2,-y+1/2,z+1/2'
'-y,-x,z'
loop_
_atom_site_label
_atom_site_fract_x
_atom_site_fract_y
_atom_site_fract_z
_atom_site_occupancy
V1 0.000 0.000 0.000 1
Fe1 0.000 0.000 0.667 1
Sb1 0.000 0.000 0.333 1
O1 0.192 0.192 0.163 1
O2 0.194 0.194 0.835 1
O3 0.202 0.202 0.497 1
# **Energy above the most stable polymorph in this dataset**: 0.00 kcal/mol of atoms
# **Mass density**: 5409 kg/m³
# **DOS(E_F)**: 0.0 states/eV/f.u.
# **Raw total energy**: -0.2524 hartree per atom

=====

2.
# VFe2SbO6 PBE with a Hubbard U optimized geometry
data_VFe2SbO6
_cell_length_a 5.270
_cell_length_b 5.327
_cell_length_c 5.572
_cell_angle_alpha 90.72
_cell_angle_beta 117.99
_cell_angle_gamma 119.62
_space_group_name_H-M_alt 'P 1'
_space_group_IT_number 1
loop_
_space_group_symop_operation_xyz
'x,y,z'
loop_
_atom_site_label
_atom_site_fract_x
_atom_site_fract_y
_atom_site_fract_z
_atom_site_occupancy
V1 0.000 0.000 0.000 1
Fe1 0.417 0.202 0.629 1
Fe2 0.417 0.704 0.135 1
Sb1 0.003 0.500 0.506 1
O1 0.153 0.878 0.780 1
O2 0.163 0.771 0.290 1
O3 0.499 0.623 0.796 1
O4 0.514 0.383 0.286 1
O5 0.895 0.278 0.780 1
O6 0.919 0.129 0.299 1
# **Mass density**: 5549 kg/m³
# **Raw total energy**: -0.2515 hartree per atom

=====

3.
# VFeSbO6 PBE with a Hubbard U optimized geometry
data_VFeSbO6
_cell_length_a 5.0991
_cell_length_b 5.0991
_cell_length_c 8.8543
_cell_angle_alpha 90.00
_cell_angle_beta 90.00
_cell_angle_gamma 120.00
_space_group_name_H-M_alt 'P -3 1 c'
_space_group_IT_number 163
_space_group_name_Hall '-P 3 2c'
loop_
_atom_site_label
_atom_site_fract_x
_atom_site_fract_y
_atom_site_fract_z
_atom_site_occupancy
V1 0.3333 0.6667 0.2500 1
Fe1 0.0000 0.0000 0.0000 1
Sb1 0.3333 0.6667 0.7500 1
O1 0.0074 0.3445 0.1297 1
# **Energy above the most stable polymorph in this dataset**: 3.28 kcal/mol of atoms
# **Mass density**: 5406 kg/m³
# **DOS(E_F)**: 3.0 states/eV/f.u.
# **Raw total energy**: -0.2472 hartree per atom